No. 1
LiLaTl PBE relaxed; space-group type = F-43m; formation energy = 0.21 eV/atom; calculated total energy = -2.857 eV per atom; density = 5805 kg/m3
1.0
0.000 3.686 3.686
3.686 0.000 3.686
3.686 3.686 0.000
Li La Tl
1 1 1
Cartesian
0.000 0.000 0.000 Li
1.843 1.843 1.843 La
3.686 3.686 3.686 Tl



No. 2
Zr2MoAu PBE relaxed; space-group type = Cmm2; formation energy = 0.07 eV/atom; calculated total energy = -7.727 eV per atom; density = 10121 kg/m3
1.0
1.829 -2.244 0.000
1.829 2.244 0.000
0.000 0.000 9.499
Zr Mo Au
2 1 1
Cartesian
0.000 0.000 0.000 Zr
1.829 0.000 2.748 Zr
0.000 0.000 5.018 Mo
1.829 0.000 7.176 Au



No. 3
CaCeRuO6 PBE relaxed; space-group type = P4_2nm; formation energy without anion corrections = -2.088 eV/atom; calculated total energy = -7.306 eV per atom; density = 4934 kg/m3
1.0
5.022 0.000 0.000
0.000 5.022 0.000
0.000 0.000 10.067
Ca Ce Ru O
2 2 2 12
Cartesian
0.000 0.000 0.000 Ca
2.511 2.511 5.033 Ca
0.000 0.000 6.637 Ce
2.511 2.511 1.604 Ce
0.000 0.000 3.319 Ru
2.511 2.511 8.352 Ru
0.906 0.906 4.782 O
0.963 0.963 1.898 O
1.156 1.156 8.292 O
1.355 3.667 3.259 O
1.548 3.474 6.932 O
1.605 3.417 9.815 O
3.417 1.605 9.815 O
3.474 1.548 6.932 O
3.667 1.355 3.259 O
3.866 3.866 8.292 O
4.059 4.059 1.898 O
4.116 4.116 4.782 O